No. 1
{"formula": "Ca2ZnP", "functional": "meta-GGA SCAN", "state": "single point on PBEsol structure", "e_tot_ev_per_cell": -46.0, "de_polymorph_ev_per_atom": 0.1379, "formation_energy_ev_per_atom": -0.6868, "volume_a3_per_cell": 87.55, "lattice": [[3.5112, 0.0000, 0.0000], [0.0000, 3.7280, 0.0000], [0.0000, 0.0000, 6.6881]], "species": ["Ca", "Ca", "Zn", "P"], "fractional_positions": [[0.0000, 0.0000, 0.2265], [0.0000, 0.0000, 0.7735], [0.5000, 0.5000, 0.5000], [0.5000, 0.5000, 0.0000]]}



No. 2
{"formula": "CaZn2P2", "functional": "meta-GGA SCAN", "state": "single point on PBEsol structure", "e_tot_ev_per_cell": -61.5, "formation_energy_ev_per_atom": -0.8025, "volume_a3_per_cell": 92.49, "lattice": [[3.9841, 0.0000, 0.0000], [-1.9921, 3.4504, 0.0000], [0.0000, 0.0000, 6.7281]], "species": ["Ca", "Zn", "Zn", "P", "P"], "fractional_positions": [[0.0000, 0.0000, 0.0000], [0.3333, 0.6667, 0.6333], [0.6667, 0.3333, 0.3667], [0.3333, 0.6667, 0.2615], [0.6667, 0.3333, 0.7385]]}



No. 3
{"formula": "CaZnP", "functional": "meta-GGA SCAN", "state": "single point on PBEsol structure", "e_tot_ev_per_cell": -72.4, "formation_energy_ev_per_atom": -0.8754, "volume_a3_per_cell": 123.06, "lattice": [[4.8620, -2.0186, 0.0000], [4.8620, 2.0186, 0.0000], [-1.1890, 0.0000, 6.2694]], "species": ["Ca", "Ca", "Zn", "Zn", "P", "P"], "fractional_positions": [[0.1200, 0.1200, 0.2914], [0.8800, 0.8800, 0.7086], [0.3840, 0.3840, 0.0666], [0.6160, 0.6160, 0.9334], [0.1759, 0.1759, 0.7508], [0.8241, 0.8241, 0.2492]]}



No. 4
{"formula": "Ca2ZnP", "functional": "meta-GGA SCAN", "state": "single point on PBEsol structure", "e_tot_ev_per_cell": -45.7, "de_polymorph_ev_per_atom": 0.2164, "formation_energy_ev_per_atom": -0.6083, "volume_a3_per_cell": 87.04, "lattice": [[0.0000, 3.5174, 3.5174], [3.5174, 0.0000, 3.5174], [3.5174, 3.5174, 0.0000]], "species": ["Ca", "Ca", "Zn", "P"], "fractional_positions": [[0.2500, 0.2500, 0.2500], [0.7500, 0.7500, 0.7500], [0.0000, 0.0000, 0.0000], [0.5000, 0.5000, 0.5000]]}



No. 5
{"formula": "CaZnP4", "functional": "meta-GGA SCAN", "state": "single point on PBEsol structure", "e_tot_ev_per_cell": -64.2, "formation_energy_ev_per_atom": 0.0993, "volume_a3_per_cell": 101.58, "lattice": [[0.0000, 3.7033, 3.7033], [3.7033, 0.0000, 3.7033], [3.7033, 3.7033, 0.0000]], "species": ["Ca", "Zn", "P", "P", "P", "P"], "fractional_positions": [[0.0000, 0.0000, 0.0000], [0.2500, 0.2500, 0.2500], [0.1544, 0.6152, 0.6152], [0.6152, 0.1544, 0.6152], [0.6152, 0.6152, 0.1544], [0.6152, 0.6152, 0.6152]]}



No. 6
{"formula": "Ca2ZnP", "functional": "meta-GGA SCAN", "state": "single point on PBEsol structure", "e_tot_ev_per_cell": -45.9, "de_polymorph_ev_per_atom": 0.1538, "formation_energy_ev_per_atom": -0.6708, "volume_a3_per_cell": 105.40, "lattice": [[2.1242, 1.2264, 6.7434], [-2.1242, 1.2264, 6.7434], [0.0000, -2.4528, 6.7434]], "species": ["Ca", "Ca", "Zn", "P"], "fractional_positions": [[0.2356, 0.2356, 0.2356], [0.7644, 0.7644, 0.7644], [0.0000, 0.0000, 0.0000], [0.5000, 0.5000, 0.5000]]}



No. 7
{"formula": "Ca9Zn4P9", "functional": "meta-GGA SCAN", "state": "single point on PBEsol structure", "e_tot_ev_per_cell": -517.3, "formation_energy_ev_per_atom": -1.0922, "volume_a3_per_cell": 924.48, "lattice": [[11.2952, 0.0000, 0.0000], [0.0000, 20.1207, 0.0000], [0.0000, 0.0000, 4.0678]], "species": ["Ca", "Ca", "Ca", "Ca", "Ca", "Ca", "Ca", "Ca", "Ca", "Ca", "Ca", "Ca", "Ca", "Ca", "Ca", "Ca", "Ca", "Ca", "Zn", "Zn", "Zn", "Zn", "Zn", "Zn", "Zn", "Zn", "P", "P", "P", "P", "P", "P", "P", "P", "P", "P", "P", "P", "P", "P", "P", "P", "P", "P"], "fractional_positions": [[0.0000, 0.0000, 0.0000], [0.0432, 0.4072, 0.5000], [0.1130, 0.2418, 0.5000], [0.1401, 0.8671, 0.5000], [0.2333, 0.6082, 0.0000], [0.2667, 0.1082, 0.0000], [0.3599, 0.3671, 0.5000], [0.3870, 0.7418, 0.5000], [0.4568, 0.9072, 0.5000], [0.5000, 0.5000, 0.0000], [0.5432, 0.0928, 0.5000], [0.6130, 0.2582, 0.5000], [0.6401, 0.6329, 0.5000], [0.7333, 0.8918, 0.0000], [0.7667, 0.3918, 0.0000], [0.8599, 0.1329, 0.5000], [0.8870, 0.7582, 0.5000], [0.9568, 0.5928, 0.5000], [0.1289, 0.7610, 0.0000], [0.2147, 0.4584, 0.0000], [0.2853, 0.9584, 0.0000], [0.3711, 0.2610, 0.0000], [0.6289, 0.7390, 0.0000], [0.7147, 0.0416, 0.0000], [0.7853, 0.5416, 0.0000], [0.8711, 0.2390, 0.0000], [0.0000, 0.5000, 0.0000], [0.0280, 0.1529, 0.0000], [0.1352, 0.6980, 0.5000], [0.1869, 0.3386, 0.0000], [0.1981, 0.0047, 0.5000], [0.3019, 0.5047, 0.5000], [0.3131, 0.8386, 0.0000], [0.3648, 0.1980, 0.5000], [0.4720, 0.6529, 0.0000], [0.5000, 0.0000, 0.0000], [0.5280, 0.3471, 0.0000], [0.6352, 0.8020, 0.5000], [0.6869, 0.1614, 0.0000], [0.6981, 0.4953, 0.5000], [0.8019, 0.9953, 0.5000], [0.8131, 0.6614, 0.0000], [0.8648, 0.3020, 0.5000], [0.9720, 0.8471, 0.0000]]}



No. 8
{"formula": "Ca2ZnP", "functional": "meta-GGA SCAN", "state": "single point on PBEsol structure", "e_tot_ev_per_cell": -46.5, "de_polymorph_ev_per_atom": 0.0000, "formation_energy_ev_per_atom": -0.8247, "volume_a3_per_cell": 90.70, "lattice": [[4.0136, 0.0000, 0.0000], [0.0000, 2.0928, 5.3989], [0.0000, -2.0928, 5.3989]], "species": ["Ca", "Ca", "Zn", "P"], "fractional_positions": [[0.0000, 0.0000, 0.0000], [0.5000, 0.2810, 0.2810], [0.5000, 0.5720, 0.5720], [0.0000, 0.7160, 0.7160]]}



No. 9
{"formula": "CaZnP3", "functional": "meta-GGA SCAN", "state": "single point on PBEsol structure", "e_tot_ev_per_cell": -48.0, "formation_energy_ev_per_atom": 1.2795, "volume_a3_per_cell": 129.55, "lattice": [[5.0599, 0.0000, 0.0000], [0.0000, 5.0599, 0.0000], [0.0000, 0.0000, 5.0599]], "species": ["Ca", "Zn", "P", "P", "P"], "fractional_positions": [[0.0000, 0.0000, 0.0000], [0.5000, 0.5000, 0.5000], [0.0000, 0.0000, 0.5000], [0.0000, 0.5000, 0.0000], [0.5000, 0.0000, 0.0000]]}



No. 10
{"formula": "CaZn2P", "functional": "meta-GGA SCAN", "state": "single point on PBEsol structure", "e_tot_ev_per_cell": -47.6, "formation_energy_ev_per_atom": -0.1259, "volume_a3_per_cell": 73.61, "lattice": [[0.0000, 3.3264, 3.3264], [3.3264, 0.0000, 3.3264], [3.3264, 3.3264, 0.0000]], "species": ["Ca", "Zn", "Zn", "P"], "fractional_positions": [[0.0000, 0.0000, 0.0000], [0.2500, 0.2500, 0.2500], [0.5000, 0.5000, 0.5000], [0.7500, 0.7500, 0.7500]]}



No. 11
{"formula": "Ca2ZrP", "functional": "meta-GGA SCAN", "state": "single point on PBEsol structure", "e_tot_ev_per_cell": -60.9, "formation_energy_ev_per_atom": -0.1085, "volume_a3_per_cell": 87.88, "lattice": [[-2.0522, 2.0522, 5.2164], [2.0522, -2.0522, 5.2164], [2.0522, 2.0522, -5.2164]], "species": ["Ca", "Ca", "Zr", "P"], "fractional_positions": [[0.2500, 0.7500, 0.5000], [0.7500, 0.2500, 0.5000], [0.0000, 0.0000, 0.0000], [0.5000, 0.5000, 0.0000]]}



No. 12
{"formula": "Ca3ZrP", "functional": "meta-GGA SCAN", "state": "single point on PBEsol structure", "e_tot_ev_per_cell": -70.5, "formation_energy_ev_per_atom": -0.0870, "volume_a3_per_cell": 161.24, "lattice": [[5.4428, 0.0000, 0.0000], [0.0000, 5.4428, 0.0000], [0.0000, 0.0000, 5.4428]], "species": ["Ca", "Ca", "Ca", "Zr", "P"], "fractional_positions": [[0.0000, 0.0000, 0.5000], [0.0000, 0.5000, 0.0000], [0.5000, 0.0000, 0.0000], [0.5000, 0.5000, 0.5000], [0.0000, 0.0000, 0.0000]]}